## Ti2IrSeN (PBE)

Data for crystalline Ti2IrSeN at its relaxed geometry.

Lattice parameters (Å, degrees): 4.200 4.200 4.017 90.00 90.00 90.00
Space group P4/mmm (No. 123)
Asymmetric unit:
Ti 0.000 0.500 0.000 (multiplicity 2)
Ir 0.000 0.000 0.500 (multiplicity 1)
Se 0.500 0.500 0.500 (multiplicity 1)
N 0.000 0.000 0.000 (multiplicity 1)

Results
Formation energy from raw total energies ... -48.6 kJ/mol of atoms
Spin magnetization ... 0.000 μB/f.u.


## TiIrSe2N (PBE)

Data for crystalline TiIrSe2N at its relaxed geometry.

Lattice parameters (Å, degrees): 5.023 5.023 3.584 90.00 90.00 90.00
Space group P4/mmm (No. 123)
Asymmetric unit:
Ti 0.000 0.000 0.000 (multiplicity 1)
Ir 0.500 0.500 0.500 (multiplicity 1)
Se 0.000 0.500 0.000 (multiplicity 2)
N 0.000 0.000 0.500 (multiplicity 1)

Results
Energy relative to the lowest polymorph listed for this composition ... 212 meV per atom
Formation energy from raw total energies ... 51.2 kJ/mol of atoms
Spin magnetization ... 0.000 μB/f.u.


## TiIrSe2N (PBE)

Data for crystalline TiIrSe2N at its relaxed geometry.

Lattice parameters (Å, degrees): 5.102 5.102 3.645 90.00 90.00 90.00
Space group P4/mmm (No. 123)
Asymmetric unit:
Ti 0.000 0.000 0.000 (multiplicity 1)
Ir 0.500 0.500 0.500 (multiplicity 1)
Se 0.000 0.500 0.500 (multiplicity 2)
N 0.500 0.500 0.000 (multiplicity 1)

Results
Energy relative to the lowest polymorph listed for this composition ... 0 meV per atom
Formation energy from raw total energies ... 30.7 kJ/mol of atoms
Spin magnetization ... 0.012 μB/f.u.


## TiIr2SeN (PBE)

Data for crystalline TiIr2SeN at its relaxed geometry.

Lattice parameters (Å, degrees): 4.084 4.084 4.262 90.00 90.00 90.00
Space group P4/mmm (No. 123)
Asymmetric unit:
Ti 0.000 0.000 0.000 (multiplicity 1)
Ir 0.000 0.500 0.500 (multiplicity 2)
Se 0.500 0.500 0.000 (multiplicity 1)
N 0.000 0.000 0.500 (multiplicity 1)

Results
Formation energy from raw total energies ... 7.4 kJ/mol of atoms
Spin magnetization ... 0.000 μB/f.u.


## TlIrSe2N (PBE)

Data for crystalline TlIrSe2N at its relaxed geometry.

Lattice parameters (Å, degrees): 5.365 5.365 4.043 90.00 90.00 90.00
Space group P4/mmm (No. 123)
Asymmetric unit:
Tl 0.000 0.000 0.000 (multiplicity 1)
Ir 0.500 0.500 0.500 (multiplicity 1)
Se 0.000 0.500 0.000 (multiplicity 2)
N 0.000 0.000 0.500 (multiplicity 1)

Results
Energy relative to the lowest polymorph listed for this composition ... 1771 meV per atom
Formation energy from raw total energies ... 192.2 kJ/mol of atoms
Spin magnetization ... 2.719 μB/f.u.


## Tl2IrSeN (PBE)

Data for crystalline Tl2IrSeN at its relaxed geometry.

Lattice parameters (Å, degrees): 5.723 5.723 3.669 90.00 90.00 90.00
Space group P4/mmm (No. 123)
Asymmetric unit:
Tl 0.000 0.500 0.000 (multiplicity 2)
Ir 0.000 0.000 0.500 (multiplicity 1)
Se 0.500 0.500 0.500 (multiplicity 1)
N 0.000 0.000 0.000 (multiplicity 1)

Results
Formation energy from raw total energies ... 37.6 kJ/mol of atoms
Spin magnetization ... 0.000 μB/f.u.


## TlIrSe2N (PBE)

Data for crystalline TlIrSe2N at its relaxed geometry.

Lattice parameters (Å, degrees): 5.315 5.315 3.684 90.00 90.00 90.00
Space group P4/mmm (No. 123)
Asymmetric unit:
Tl 0.000 0.000 0.000 (multiplicity 1)
Ir 0.500 0.500 0.500 (multiplicity 1)
Se 0.000 0.500 0.500 (multiplicity 2)
N 0.500 0.500 0.000 (multiplicity 1)

Results
Energy relative to the lowest polymorph listed for this composition ... 0 meV per atom
Formation energy from raw total energies ... 21.3 kJ/mol of atoms
Spin magnetization ... 0.000 μB/f.u.


## VIrSe2N (PBE)

Data for crystalline VIrSe2N at its relaxed geometry.

Lattice parameters (Å, degrees): 5.092 5.092 3.641 90.00 90.00 90.00
Space group P4/mmm (No. 123)
Asymmetric unit:
V 0.000 0.000 0.000 (multiplicity 1)
Ir 0.500 0.500 0.500 (multiplicity 1)
Se 0.000 0.500 0.500 (multiplicity 2)
N 0.500 0.500 0.000 (multiplicity 1)

Results
Energy relative to the lowest polymorph listed for this composition ... 91 meV per atom
Formation energy from raw total energies ... 62.9 kJ/mol of atoms
Spin magnetization ... 0.118 μB/f.u.